Here is a geometry-optimized Sc2AlPt structure from Alexandria via LeMat-Bulk. Energies are from PBE-GGA.

abc: 3.504 3.504 14.790
angles: 90.00 90.00 90.00
Space group I4/mmm (No. 139)
Unique sites:
Sc1 0.000 0.000 0.179
Al1 0.000 0.000 0.500
Pt1 0.000 0.000 0.000

N(E_F): 9.51 states/eV per cell
total energy: -5.965 eV/atom
energy of formation from the pure elements: -0.354 eV per atom